The following is a PBE calculation of a geometry-optimized SiNi2 structure, from the Alexandria database.

Summary:
**Fermi-level density of states**: 1.1579 states/eV per atom
**Formation energy (no corrections)**: -232 meV per atom

Cell: 2.6466 2.6466 5.6178 Å, 90.00 90.00 120.00°
Space group P-3m1 (No. 164)
Symmetry-distinct sites (fractional):
Si 0.0000 0.0000 0.0000
Ni 0.3333 0.6667 0.3168

***

The following is a PBE calculation of a geometry-optimized Si2Ni structure, from the Alexandria database.

Summary:
**Fermi-level density of states**: 0.3514 states/eV per atom
**Formation energy (no corrections)**: 181 meV per atom

Cell: 4.3071 4.3071 4.8597 Å, 90.00 90.00 120.00°
Space group P6_3/mmc (No. 194)
Symmetry-distinct sites (fractional):
Si 0.0000 0.0000 0.0000
Si 0.3333 0.6667 0.2500
Ni 0.3333 0.6667 0.7500